i:
The following is a PBE-GGA calculation of a relaxed InTeP2 crystal, from Alexandria via LeMat-Bulk.

Calculated values
total magnetic moment	0.0	μB per cell
SG	R3m, No. 160
mass density	5036	kg/m³

POSCAR file:
```
InTeP2
1.0
1.6404 0.9471 10.7664
-1.6404 0.9471 10.7664
0.0000 -1.8942 10.7664
In Te P
1 1 2
Direct
0.0000 0.0000 0.0000
0.7628 0.7628 0.7628
0.2434 0.2434 0.2434
0.5383 0.5383 0.5383
```

ii:
The following is a PBE-GGA calculation of a relaxed InTeP2 crystal, from Alexandria via LeMat-Bulk.

Calculated values
total magnetic moment	0.0	μB per cell
SG	P4/mmm, No. 123
mass density	6123	kg/m³

POSCAR file:
```
InTeP2
1.0
3.4487 0.0000 0.0000
0.0000 3.4487 0.0000
0.0000 0.0000 6.9407
In Te P
1 1 2
Direct
0.0000 0.0000 0.0000
0.0000 0.0000 0.5000
0.5000 0.5000 0.2476
0.5000 0.5000 0.7524
```

From most stable to least stable, the computed energies give i, ii.

i:
The following is a PBE-GGA calculation of a relaxed InTe3P crystal, from Alexandria via LeMat-Bulk.

Calculated values
total magnetic moment	0.0	μB per cell
SG	Pm-3m, No. 221
mass density	5779	kg/m³

POSCAR file:
```
InTe3P
1.0
5.3355 0.0000 0.0000
0.0000 5.3355 0.0000
0.0000 0.0000 5.3355
In Te P
1 3 1
Direct
0.0000 0.0000 0.0000
0.0000 0.5000 0.5000
0.5000 0.0000 0.5000
0.5000 0.5000 0.0000
0.5000 0.5000 0.5000
```

ii:
The following is a PBE-GGA calculation of a relaxed InTe3P crystal, from Alexandria via LeMat-Bulk.

Calculated values
total magnetic moment	1.4	μB per cell
SG	Pm-3m, No. 221
mass density	4788	kg/m³

POSCAR file:
```
InTe3P
1.0
5.6809 0.0000 0.0000
0.0000 5.6809 0.0000
0.0000 0.0000 5.6809
In Te P
1 3 1
Direct
0.0000 0.0000 0.0000
0.0000 0.0000 0.5000
0.0000 0.5000 0.0000
0.5000 0.0000 0.0000
0.5000 0.5000 0.5000
```

iii:
The following is a PBE-GGA calculation of a relaxed InTe3P crystal, from Alexandria via LeMat-Bulk.

Calculated values
total magnetic moment	0.0	μB per cell
SG	P-31m, No. 162
mass density	5674	kg/m³

POSCAR file:
```
InTe3P
1.0
7.2081 0.0000 0.0000
-3.6041 6.2424 0.0000
0.0000 0.0000 6.8761
In Te P
2 6 2
Direct
0.3333 0.6667 0.0000
0.6667 0.3333 0.0000
0.0000 0.3399 0.7128
0.0000 0.6601 0.2872
0.3399 0.0000 0.7128
0.3399 0.3399 0.2872
0.6601 0.0000 0.2872
0.6601 0.6601 0.7128
0.0000 0.0000 0.1697
0.0000 0.0000 0.8303
```

From most stable to least stable, the computed energies give iii, i, ii.